[1]
A relaxed NdC2N3 crystal, computed with GGA-PBE.

Properties
Total magnetization = 0.00 μB per formula unit
DFT total energy = -7.962 eV/atom

a = 4.0893 Å, b = 5.6769 Å, c = 4.4906 Å
α = 129.20°, β = 90.00°, γ = 90.00°
Last column: nearest neighbours and their distance in Å.
Element x y z (fractional)
1 N 0.9269 0.2738 0.0476  1 C 1.22
2 C 0.1703 0.8286 0.1573  2 N 1.22-1.37
3 Nd 0.4707 0.5000 0.5000  4 N 2.44-2.72, 2 C 2.60
4 N 0.3349 0.0000 0.5000  2 C 1.37
5 C 0.1703 0.1714 0.8427  2 N 1.22-1.37
6 N 0.9269 0.7262 0.9524  1 C 1.22

[2]
A relaxed Ce2MgZn crystal, computed with GGA-PBE.

Properties
Energy relative to the elements = -0.0552 eV per atom
Total magnetization = 2.02 μB per formula unit
Energy relative to the lowest polymorph listed for this composition = 14 meV/atom

a = 3.8813 Å, b = 3.8813 Å, c = 6.8219 Å
α = 90.00°, β = 90.00°, γ = 90.00°
Last column: nearest neighbours and their distance in Å.
Element x y z (fractional)
1 Mg 0.5000 0.5000 0.5000  8 Ce 3.38, 2 Zn 3.41
2 Ce 0.0000 0.0000 0.7897  1 Ce 2.87, 4 Zn 3.10
3 Zn 0.5000 0.5000 0.0000  8 Ce 3.10, 2 Mg 3.41
4 Ce 0.0000 0.0000 0.2103  1 Ce 2.87, 4 Zn 3.10

[3]
A relaxed TiBe6Au6 crystal, computed with GGA-PBE.

Properties
Energy relative to the elements = -0.2093 eV per atom
Total magnetization = 0.00 μB per formula unit

a = 4.8165 Å, b = 6.4621 Å, c = 6.4621 Å
α = 81.14°, β = 68.12°, γ = 68.12°
Last column: nearest neighbours and their distance in Å.
Element x y z (fractional)
1 Be 0.5000 0.7585 0.2415  4 Be 2.46, 6 Au 2.48-2.59
2 Be 0.0000 0.0000 0.5000  4 Be 2.41-2.46, 6 Au 2.53-2.54
3 Au 0.6648 0.3352 0.3352  6 Be 2.53-2.59, 3 Au 2.81-2.82
4 Au 0.0000 0.3278 0.6722  6 Be 2.52-2.54, 1 Ti 2.76
5 Be 0.5000 0.5000 0.0000  4 Be 2.41-2.46, 6 Au 2.53-2.54
6 Be 0.5000 0.2415 0.7585  4 Be 2.46, 6 Au 2.48-2.59
7 Be 0.0000 0.5000 0.0000  4 Be 2.41-2.46, 6 Au 2.53-2.54
8 Ti 0.0000 0.0000 0.0000  8 Au 2.76-2.87
9 Be 0.5000 0.0000 0.5000  4 Be 2.41-2.46, 6 Au 2.53-2.54
10 Au 0.6664 0.8336 0.8336  6 Be 2.48-2.53
11 Au 0.0000 0.6722 0.3278  6 Be 2.52-2.54, 1 Ti 2.76
12 Au 0.3336 0.1664 0.1664  6 Be 2.48-2.53
13 Au 0.3352 0.6648 0.6648  6 Be 2.53-2.59, 3 Au 2.81-2.82

[4]
A relaxed TcIrRu2 crystal, computed with GGA-PBE.

Properties
Energy relative to the elements = -0.0495 eV per atom
Total magnetization = 0.00 μB per formula unit
Energy relative to the lowest polymorph listed for this composition = 86 meV/atom

a = 3.8311 Å, b = 3.8495 Å, c = 3.8495 Å
α = 90.00°, β = 90.00°, γ = 90.00°
Last column: nearest neighbours and their distance in Å.
Element x y z (fractional)
1 Tc 0.5000 0.5000 0.0000  8 Ru 2.72, 4 Ir 2.72
2 Ru 0.0000 0.5000 0.5000  4 Tc 2.72, 4 Ir 2.72, 4 Ru 2.72
3 Ru 0.0000 0.0000 0.0000  4 Tc 2.72, 4 Ir 2.72, 4 Ru 2.72
4 Ir 0.5000 0.0000 0.5000  8 Ru 2.72, 4 Tc 2.72

The highest total magnetization belongs to which entry? Ce2MgZn

Look up the total magnetization of the second one. 2.02 μB per formula unit

Which of these has the highest total magnetization? Ce2MgZn

The highest total magnetization belongs to which entry? Ce2MgZn